DFT (GGA-PBE) results for a relaxed LaAlCo crystal.

Output
Its density of states at the Fermi level is 1.01 states/eV per atom. The value obtained for the formation energy is -0.1149 eV/atom. The total magnetic moment comes out at 0.000 μB per atom.

```
LaAlCo
1.0
4.5421 0.0000 0.0000
2.2710 3.9336 0.0000
2.2710 1.3112 3.7086
Al La Co
1 1 1
Direct
0.5000 0.5000 0.5000 Al
0.0000 0.0000 0.0000 La
0.7500 0.7500 0.7500 Co
```

=====

DFT (GGA-PBE) results for a relaxed CeY4Bi5 crystal.

Output
Its density of states at the Fermi level is 0.78 states/eV per atom. The value obtained for the formation energy is -0.8758 eV/atom. The total magnetic moment comes out at 0.074 μB per atom.

```
CeY4Bi5
1.0
-1.9108 -1.2621 3.8831
5.3877 -2.9599 1.6891
1.9306 11.5754 2.0954
Y Ce Bi
4 1 5
Direct
0.6008 0.6008 0.2016 Y
0.7980 0.7980 0.5960 Y
0.2020 0.2020 0.4040 Y
0.3992 0.3992 0.7984 Y
0.0000 0.0000 0.0000 Ce
0.0000 0.5000 0.0000 Bi
0.3979 0.8979 0.7958 Bi
0.8004 0.3004 0.6008 Bi
0.1996 0.6996 0.3992 Bi
0.6021 0.1021 0.2042 Bi
```

=====

DFT (GGA-PBE) results for a relaxed Pa2GeO8 crystal.

Output
Its density of states at the Fermi level is 0.00 states/eV per atom. For the energy relative to the elements, uncorrected, the calculation gives -2602 meV/atom. The total magnetic moment comes out at 0.000 μB per atom.

```
Pa2GeO8
1.0
4.3741 0.1043 1.0312
-2.4766 5.3994 -1.6661
1.3106 -0.2046 6.0257
O Ge Pa
8 1 2
Direct
0.4317 0.6627 0.9628 O
0.9871 0.0688 0.9317 O
0.0129 0.9312 0.0683 O
0.5669 0.9625 0.6632 O
0.4331 0.0375 0.3368 O
0.1466 0.4198 0.5788 O
0.8534 0.5802 0.4212 O
0.5683 0.3373 0.0372 O
0.5000 0.0000 0.0000 Ge
0.5408 0.3337 0.6664 Pa
0.4592 0.6663 0.3336 Pa
```